Version one
An optimized crystal structure of LaMnOs. Source: Alexandria via LeMat-Bulk, functional PBE.

Cell: 3.9669 3.9669 4.7202 Å, 90.00 90.00 120.00°
Space group P3m1 (No. 156)
Symmetry-distinct sites (fractional):
La: 0.0000 0.0000 0.0000 (multiplicity 1)
Mn: 0.6667 0.3333 0.4651 (multiplicity 1)
Os: 0.3333 0.6667 0.5332 (multiplicity 1)

Density: 9.914 g/cm3



Version two
An optimized crystal structure of LaMnOs. Source: Alexandria via LeMat-Bulk, functional PBE.

Cell: 2.8781 2.8781 13.2011 Å, 90.00 90.00 90.00°
Space group I4mm (No. 107)
Symmetry-distinct sites (fractional):
La: 0.0000 0.0000 0.0000 (multiplicity 2)
Mn: 0.0000 0.0000 0.1866 (multiplicity 2)
Os: 0.0000 0.0000 0.7929 (multiplicity 2)

Density: 11.665 g/cm3



Version three
An optimized crystal structure of LaMnOs. Source: Alexandria via LeMat-Bulk, functional PBE.

Cell: 6.4850 6.4850 6.4850 Å, 90.00 90.00 90.00°
Space group F-43m (No. 216)
Symmetry-distinct sites (fractional):
La: 0.0000 0.0000 0.0000 (multiplicity 4)
Mn: 0.2500 0.2500 0.2500 (multiplicity 4)
Os: 0.2500 0.2500 0.7500 (multiplicity 4)

Density: 9.354 g/cm3



Version four
An optimized crystal structure of LaMnOs. Source: Alexandria via LeMat-Bulk, functional PBE.

Cell: 6.5165 6.5165 6.5165 Å, 90.00 90.00 90.00°
Space group F-43m (No. 216)
Symmetry-distinct sites (fractional):
La: 0.0000 0.0000 0.0000 (multiplicity 4)
Mn: 0.0000 0.0000 0.5000 (multiplicity 4)
Os: 0.2500 0.2500 0.7500 (multiplicity 4)

Density: 9.219 g/cm3



Which of them is most stable, and which least? Most stable: version one; least stable: version three.